1.
{
  "formula": "Ac2P4IrPt3",
  "functional": "PBE",
  "state": "relaxed",
  "final_energy_ev_per_atom": -6.63,
  "m_tot_mub_per_cell": 0.00,
  "spacegroup": "No. 115",
  "lattice_angstrom": [[-0.3992, 3.3094, -2.8370], [-3.8391, -1.6162, -1.3451], [-4.6315, 5.3068, 6.8423]],
  "species": ["Pt", "P", "Pt", "P", "P", "Pt", "P", "Ac", "Ac", "Ir"],
  "fractional_positions": [[0.5000, 0.0000, 0.8870], [0.0000, 0.0000, 0.0000], [0.0000, 0.0000, 0.5000], [0.0000, 0.5000, 0.3715], [0.5000, 0.0000, 0.6285], [0.0000, 0.5000, 0.1130], [0.5000, 0.5000, 0.0000], [0.5000, 0.0000, 0.2465], [0.0000, 0.5000, 0.7535], [0.5000, 0.5000, 0.5000]]
}


2.
{
  "formula": "Na2Ag5Sn4",
  "functional": "PBE",
  "state": "relaxed",
  "final_energy_ev_per_atom": -3.03,
  "m_tot_mub_per_cell": 0.00,
  "spacegroup": "No. 69",
  "lattice_angstrom": [[5.7747, 0.0000, 0.0000], [2.8874, 5.1370, 0.0000], [2.8874, 0.0000, 9.3725]],
  "species": ["Ag", "Ag", "Na", "Ag", "Ag", "Na", "Sn", "Ag", "Sn", "Sn", "Sn"],
  "fractional_positions": [[0.2500, 0.5000, 0.5000], [0.5000, 0.0000, 0.0000], [0.8327, 0.0000, 0.3346], [0.0000, 0.5000, 0.0000], [0.7500, 0.5000, 0.5000], [0.1673, 0.0000, 0.6654], [0.7863, 0.6808, 0.7466], [0.5000, 0.5000, 0.0000], [0.2137, 0.3192, 0.2534], [0.5329, 0.6808, 0.2534], [0.4671, 0.3192, 0.7466]]
}


3.
{
  "formula": "NiB2H6",
  "functional": "PBE",
  "state": "relaxed",
  "final_energy_ev_per_atom": -4.08,
  "m_tot_mub_per_cell": 0.00,
  "spacegroup": "No. 2",
  "relative_energy_ev_per_atom": 0.1816,
  "lattice_angstrom": [[-1.0160, -3.7910, 0.1836], [-0.4367, -0.5205, 2.2697], [-5.9447, 7.0485, 1.8135]],
  "species": ["H", "H", "H", "B", "B", "H", "Ni", "H", "H"],
  "fractional_positions": [[0.3989, 0.0047, 0.6286], [0.9172, 0.7139, 0.6821], [0.6011, 0.9953, 0.3714], [0.7670, 0.7351, 0.7834], [0.2330, 0.2649, 0.2166], [0.1585, 0.5284, 0.8006], [0.0000, 0.0000, 0.0000], [0.0828, 0.2861, 0.3179], [0.8415, 0.4716, 0.1994]]
}